(1)
The following is a DFT calculation (PBE) of a geometry-optimized CsCoP2Os structure.

Structure (POSCAR):
```
CsCoP2Os
1.0
3.8510 0.0000 0.0000
0.0000 3.8510 0.0000
0.0000 0.0000 14.5589
Cs Co P Os
2 2 4 2
Cartesian
0.0000 0.0000 0.0000
1.9255 1.9255 7.2794
0.0000 1.9255 3.6397
1.9255 0.0000 10.9191
0.0000 0.0000 4.8729
0.0000 0.0000 9.6859
1.9255 1.9255 2.4065
1.9255 1.9255 12.1524
0.0000 1.9255 10.9191
1.9255 0.0000 3.6397
```

VASP energy	-32.6	eV per formula unit

(2)
The following is a DFT calculation (PBE) of a geometry-optimized CsCoPS4 structure.

Structure (POSCAR):
```
CsCoPS4
1.0
-4.2582 4.2582 5.9839
4.2582 -4.2582 5.9839
4.2582 4.2582 -5.9839
Cs Co P S
2 2 2 8
Cartesian
0.0000 0.0000 2.9919
0.0000 0.0000 8.9758
4.2582 0.0000 0.0000
0.0000 4.2582 0.0000
4.2582 0.0000 2.9919
0.0000 4.2582 2.9919
3.1790 -1.0792 1.6016
5.3375 -1.0792 4.3823
5.3375 1.0792 1.6016
3.1790 1.0792 4.3823
1.0792 3.1790 1.6016
-1.0792 3.1790 4.3823
-1.0792 5.3375 1.6016
1.0792 5.3375 4.3823
```

VASP energy	-33.8	eV per formula unit

(3)
The following is a DFT calculation (PBE) of a geometry-optimized CsPaCo structure.

Structure (POSCAR):
```
CsPaCo
1.0
6.7783 0.0000 0.0000
0.0000 6.7783 0.0000
0.0000 0.0000 6.7783
Cs Pa Co
4 4 4
Cartesian
0.0000 0.0000 0.0000
0.0000 3.3892 3.3892
3.3892 0.0000 3.3892
3.3892 3.3892 0.0000
0.0000 0.0000 3.3892
0.0000 3.3892 0.0000
3.3892 0.0000 0.0000
3.3892 3.3892 3.3892
1.6946 1.6946 1.6946
1.6946 5.0837 5.0837
5.0837 1.6946 5.0837
5.0837 5.0837 1.6946
```

VASP energy	-13.3	eV per formula unit

(4)
The following is a DFT calculation (PBE) of a geometry-optimized CsCoPdS3 structure.

Structure (POSCAR):
```
CsCoPdS3
1.0
8.4174 0.0000 0.0000
0.0000 3.5877 0.0000
-3.5426 0.0000 9.0232
Cs Co Pd S
2 2 2 6
Cartesian
0.9965 0.8969 2.3245
3.8783 2.6908 6.6988
-0.1515 2.6908 7.7954
5.0263 0.8969 1.2278
-1.2308 0.8969 5.3345
6.1055 2.6908 3.6887
-1.6309 0.8969 7.7493
0.2152 2.6908 5.5312
3.5970 2.6908 1.0174
1.2778 0.8969 8.0059
4.6595 0.8969 3.4920
6.5056 2.6908 1.2739
```

VASP energy	-28.2	eV per formula unit

(5)
The following is a DFT calculation (PBE) of a geometry-optimized CsPrCo structure.

Structure (POSCAR):
```
CsPrCo
1.0
7.2612 0.0000 0.0000
0.0000 7.2612 0.0000
0.0000 0.0000 7.2612
Cs Pr Co
4 4 4
Cartesian
0.0000 0.0000 0.0000
0.0000 3.6306 3.6306
3.6306 0.0000 3.6306
3.6306 3.6306 0.0000
1.8153 1.8153 1.8153
1.8153 5.4459 5.4459
5.4459 1.8153 5.4459
5.4459 5.4459 1.8153
0.0000 0.0000 3.6306
0.0000 3.6306 0.0000
3.6306 0.0000 0.0000
3.6306 3.6306 3.6306
```

VASP energy	-9.0	eV per formula unit

(6)
The following is a DFT calculation (PBE) of a geometry-optimized CsCoPt structure.

Structure (POSCAR):
```
CsCoPt
1.0
6.9663 0.0000 0.0000
0.0000 6.9663 0.0000
0.0000 0.0000 6.9663
Cs Co Pt
4 4 4
Cartesian
0.0000 0.0000 0.0000
0.0000 3.4831 3.4831
3.4831 0.0000 3.4831
3.4831 3.4831 0.0000
0.0000 0.0000 3.4831
0.0000 3.4831 0.0000
3.4831 0.0000 0.0000
3.4831 3.4831 3.4831
1.7416 1.7416 5.2247
1.7416 5.2247 1.7416
5.2247 1.7416 1.7416
5.2247 5.2247 5.2247
```

VASP energy	-10.3	eV per formula unit

(7)
The following is a DFT calculation (PBE) of a geometry-optimized Cs2Co3S4 structure.

Structure (POSCAR):
```
Cs2Co3S4
1.0
-2.6942 5.4295 6.7797
2.6942 -5.4295 6.7797
2.6942 5.4295 -6.7797
Cs Co S
4 6 8
Cartesian
1.3234 1.3518 0.0000
1.3234 -1.3518 6.7797
1.3708 6.7813 0.0000
1.3708 4.0778 6.7797
2.6942 -2.6778 3.3898
2.6942 0.0000 3.3898
2.6942 2.6778 3.3898
0.0000 2.7517 3.3898
0.0000 5.4295 3.3898
0.0000 8.1073 3.3898
1.3446 -1.3590 2.3096
1.3496 4.0705 -2.3096
4.0438 1.3590 2.3096
1.3446 1.3590 4.4701
1.3496 4.0705 2.3096
-1.3496 4.0705 4.4701
1.3446 1.3590 9.0893
1.3496 6.7885 4.4701
```

VASP energy	-45.1	eV per formula unit

(8)
The following is a DFT calculation (PBE) of a geometry-optimized CsCo2S2 structure.

Structure (POSCAR):
```
CsCo2S2
1.0
0.0000 2.6752 6.8659
2.6713 0.0000 6.8659
2.6713 2.6752 0.0000
Cs Co S
1 2 2
Cartesian
0.0000 0.0000 0.0000
1.3357 1.3376 3.4282
4.0070 4.0127 10.2941
2.6713 2.6752 4.5967
2.6713 2.6752 9.1224
```

VASP energy	-26.3	eV per formula unit